Entry from the Alexandria database: a geometry-optimized HoMgMn2O6 structure (PBE with a Hubbard U).

Summary:
Electronic total energy = -146.464 eV/cell
Space group = Pmn2_1 (31)

Lattice parameters (Å, degrees): 5.1841 5.4583 7.4977 90.00 90.00 90.00
Each line ends with the local moment (μB).
Element x y z (fractional)
O 0.3113 0.4404 0.1893  -0.07
O 0.8113 0.5596 0.3107  -0.07
O 0.8113 0.5596 0.6893  -0.07
Mn 0.5000 0.7559 0.7492  3.64
Ho 0.5178 0.3186 0.5000  0.02
Mg 0.4794 0.1856 0.0000  0.01
O 0.2011 0.9523 0.1876  -0.07
O 0.8701 0.2869 0.0000  -0.08
O 0.6083 0.8057 0.0000  -0.07
O 0.2011 0.9523 0.8124  -0.07
Mn 0.0000 0.2441 0.2492  3.64
O 0.1083 0.1943 0.5000  -0.07
Mg 0.9794 0.8144 0.5000  0.01
Mn 0.5000 0.7559 0.2508  3.64
O 0.7011 0.0477 0.6876  -0.07
O 0.3701 0.7131 0.5000  -0.08
Ho 0.0178 0.6814 0.0000  0.02
O 0.3113 0.4404 0.8107  -0.07
Mn 0.0000 0.2441 0.7508  3.64
O 0.7011 0.0477 0.3124  -0.07